# SCAN CaY2SeI, single point on PBEsol structure
# - E_form (uncorrected) (eV per formula unit) = 0.6
# - symmetry = No. 123
# - crystal system = tetragonal
data_CaY2SeI
_chemical_formula_sum 'Ca1 Y2 Se1 I1'
_space_group_name_H-M_alt 'P 1'
_space_group_IT_number 1
_cell_length_a 5.531
_cell_length_b 5.531
_cell_length_c 5.607
_cell_angle_alpha 90.00
_cell_angle_beta 90.00
_cell_angle_gamma 90.00
loop_
_space_group_symop_operation_xyz
'x,y,z'
loop_
_atom_site_label
_atom_site_type_symbol
_atom_site_fract_x
_atom_site_fract_y
_atom_site_fract_z
_atom_site_occupancy
Y1 Y 0.000 0.500 0.000 1
Y2 Y 0.500 0.000 0.000 1
Ca1 Ca 0.000 0.000 0.500 1
Se1 Se 0.500 0.500 0.500 1
I1 I 0.000 0.000 0.000 1